Entry 1:
# RbMgTlBi, optimized geometry, DFT PBE
# SG: P4/nmm (129)
data_RbMgTlBi
_chemical_formula_sum 'Rb2 Mg2 Tl2 Bi2'
_cell_length_a 4.669
_cell_length_b 4.669
_cell_length_c 14.794
_cell_angle_alpha 90.00
_cell_angle_beta 90.00
_cell_angle_gamma 90.00
_space_group_name_H-M_alt 'P 1'
_space_group_IT_number 1
_space_group_name_Hall 'P 1'
loop_
_atom_site_label
_atom_site_fract_x
_atom_site_fract_y
_atom_site_fract_z
_atom_site_occupancy
Rb1 0.250 0.250 0.250 1
Rb2 0.750 0.750 0.750 1
Mg1 0.250 0.750 0.000 1
Mg2 0.750 0.250 0.000 1
Tl1 0.250 0.750 0.500 1
Tl2 0.750 0.250 0.500 1
Bi1 0.250 0.250 0.874 1
Bi2 0.750 0.750 0.126 1

Entry 2:
# RbY2MgBi, optimized geometry, DFT PBE
# SG: P4/mmm (123)
data_RbY2MgBi
_chemical_formula_sum 'Rb1 Y2 Mg1 Bi1'
_cell_length_a 5.669
_cell_length_b 5.669
_cell_length_c 5.439
_cell_angle_alpha 90.00
_cell_angle_beta 90.00
_cell_angle_gamma 90.00
_space_group_name_H-M_alt 'P 1'
_space_group_IT_number 1
_space_group_name_Hall 'P 1'
loop_
_atom_site_label
_atom_site_fract_x
_atom_site_fract_y
_atom_site_fract_z
_atom_site_occupancy
Rb1 0.000 0.000 0.000 1
Y1 0.000 0.500 0.000 1
Y2 0.500 0.000 0.000 1
Mg1 0.000 0.000 0.500 1
Bi1 0.500 0.500 0.500 1

Entry 3:
# Rb2MgZnBi2, optimized geometry, DFT PBE
# SG: Ibam (72)
data_Rb2MgZnBi2
_chemical_formula_sum 'Rb4 Mg2 Zn2 Bi4'
_cell_length_a 10.074
_cell_length_b 10.074
_cell_length_c 10.074
_cell_angle_alpha 139.52
_cell_angle_beta 58.80
_cell_angle_gamma 139.24
_space_group_name_H-M_alt 'P 1'
_space_group_IT_number 1
_space_group_name_Hall 'P 1'
loop_
_atom_site_label
_atom_site_fract_x
_atom_site_fract_y
_atom_site_fract_z
_atom_site_occupancy
Rb1 0.170 0.248 0.418 1
Rb2 0.330 0.748 0.078 1
Rb3 0.670 0.252 0.922 1
Rb4 0.830 0.752 0.582 1
Mg1 0.250 0.750 0.500 1
Mg2 0.750 0.250 0.500 1
Zn1 0.250 0.250 0.000 1
Zn2 0.750 0.750 0.000 1
Bi1 0.095 0.760 0.855 1
Bi2 0.405 0.260 0.665 1
Bi3 0.595 0.740 0.335 1
Bi4 0.905 0.240 0.145 1

Entry 4:
# Mg3ReBi, optimized geometry, DFT PBE
# SG: Pm-3m (221)
# Energy above the most stable polymorph in this dataset: 0 meV/atom
data_Mg3ReBi
_chemical_formula_sum 'Mg3 Re1 Bi1'
_cell_length_a 5.082
_cell_length_b 5.082
_cell_length_c 5.082
_cell_angle_alpha 90.00
_cell_angle_beta 90.00
_cell_angle_gamma 90.00
_space_group_name_H-M_alt 'P 1'
_space_group_IT_number 1
_space_group_name_Hall 'P 1'
loop_
_atom_site_label
_atom_site_fract_x
_atom_site_fract_y
_atom_site_fract_z
_atom_site_occupancy
Mg1 0.000 0.000 0.500 1
Mg2 0.000 0.500 0.000 1
Mg3 0.500 0.000 0.000 1
Re1 0.000 0.000 0.000 1
Bi1 0.500 0.500 0.500 1

ΔH_f (0 K) list, top to bottom, in meV/atom: -244, 1242, -346, 841
Size of the total moment list, top to bottom, in μB per cell: 0.00, 0.00, 0.00, 0.00
E list, top to bottom, in eV per cell: -19.570, -13.161, -29.288, -16.907